Entry 1:
DFT (PBE-GGA) results for a relaxed structure of PrNdY5Er2.

Cell and atoms, written as extended XYZ:
```
18
Lattice="2.831 -10.045 0.000 2.831 10.045 0.000 0.000 0.000 10.581" Properties=species:S:1:pos:R:3 pbc="T T T"
Pr 2.831 6.053 5.291
Pr 2.831 -6.053 0.000
Nd 2.831 1.679 9.860
Nd 2.831 -1.679 4.570
Y 2.831 9.715 5.399
Y 2.831 4.431 8.478
Y 2.831 4.038 2.040
Y 2.831 2.232 5.401
Y 2.831 0.457 2.338
Y 2.831 -0.457 7.629
Y 2.831 -2.232 0.110
Y 2.831 -4.038 7.331
Y 2.831 -4.431 3.188
Y 2.831 -9.715 0.108
Er 2.831 7.820 2.329
Er 2.831 7.778 8.533
Er 2.831 -7.778 3.243
Er 2.831 -7.820 7.620
```

Results
total DFT energy (no corrections)	-99.12	eV per cell
formation energy from the elements	0.1594	eV/atom

***

Entry 2:
DFT (PBE-GGA) results for a relaxed structure of As2PN2.

Cell and atoms, written as extended XYZ:
```
10
Lattice="7.492 0.000 0.000 0.000 7.492 0.000 0.000 0.000 2.840" Properties=species:S:1:pos:R:3 pbc="T T T"
As 1.388 2.358 0.000
As 2.358 6.103 0.000
As 5.134 1.388 0.000
As 6.103 5.134 0.000
P 0.000 0.000 0.000
P 3.746 3.746 0.000
N 0.502 3.244 1.420
N 3.244 6.989 1.420
N 4.248 0.502 1.420
N 6.989 4.248 1.420
```

Results
total DFT energy (no corrections)	-55.10	eV per cell
ΔE_f (raw)	73.5	kJ per mole of atoms

***

Entry 3:
DFT (PBE-GGA) results for a relaxed structure of Rb2LiSb.

Cell and atoms, written as extended XYZ:
```
8
Lattice="5.575 -4.421 0.000 5.575 4.421 0.000 0.000 0.000 6.568" Properties=species:S:1:pos:R:3 pbc="T T T"
Rb 1.878 1.213 1.642
Rb 1.878 -1.213 4.926
Rb 9.271 1.213 1.642
Rb 9.271 -1.213 4.926
Li 5.575 0.000 0.000
Li 5.575 0.000 3.284
Sb 5.575 2.157 1.642
Sb 5.575 -2.157 4.926
```

Results
total DFT energy (no corrections)	-19.54	eV per cell
ΔE_f (raw)	-43.4	kJ per mole of atoms

***

Entry 4:
DFT (PBE-GGA) results for a relaxed structure of Ce4In3Hg.

Cell and atoms, written as extended XYZ:
```
8
Lattice="-2.360 2.360 9.543 2.360 -2.360 9.543 2.360 2.360 -9.543" Properties=species:S:1:pos:R:3 pbc="T T T"
Ce 2.360 0.000 2.375
Ce 2.360 0.000 7.168
Ce 0.000 2.360 2.375
Ce 0.000 2.360 7.168
In 0.000 0.000 0.000
In 0.000 0.000 4.771
In 0.000 0.000 14.315
Hg 0.000 0.000 9.543
```

Results
total DFT energy (no corrections)	-35.02	eV per cell
formation energy from the elements	-0.3461	eV/atom